[1]
The following is a DFT calculation (PBE) of a geometry-optimized Cs2ZnSn3S8 structure.

Results
Its symmetry is P2_1/c (14). The electronic total energy is -231.9 eV/cell.

Unit cell a=7.647 b=17.943 c=14.484 alpha=90.00 beta=117.05 gamma=90.00
Atoms (fractional coordinates):
Cs1 0.138 0.060 0.397
Cs2 0.138 0.440 0.897
Cs3 0.172 0.659 0.442
Cs4 0.172 0.841 0.942
Cs5 0.828 0.159 0.058
Cs6 0.828 0.341 0.558
Cs7 0.862 0.560 0.103
Cs8 0.862 0.940 0.603
Zn1 0.223 0.648 0.753
Zn2 0.223 0.852 0.253
Zn3 0.777 0.148 0.747
Zn4 0.777 0.352 0.247
Sn1 0.257 0.148 0.741
Sn2 0.257 0.352 0.241
Sn3 0.418 0.018 0.187
Sn4 0.418 0.482 0.687
Sn5 0.436 0.686 0.207
Sn6 0.436 0.814 0.707
Sn7 0.564 0.186 0.293
Sn8 0.564 0.314 0.793
Sn9 0.582 0.518 0.313
Sn10 0.582 0.982 0.813
Sn11 0.743 0.648 0.759
Sn12 0.743 0.852 0.259
S1 0.087 0.643 0.871
S2 0.087 0.857 0.371
S3 0.113 0.541 0.645
S4 0.113 0.959 0.145
S5 0.123 0.740 0.156
S6 0.123 0.760 0.656
S7 0.356 0.244 0.359
S8 0.356 0.256 0.859
S9 0.363 0.045 0.868
S10 0.363 0.455 0.368
S11 0.374 0.144 0.113
S12 0.374 0.356 0.613
S13 0.393 0.559 0.132
S14 0.393 0.941 0.632
S15 0.433 0.151 0.640
S16 0.433 0.349 0.140
S17 0.567 0.651 0.860
S18 0.567 0.849 0.360
S19 0.607 0.059 0.368
S20 0.607 0.441 0.868
S21 0.626 0.644 0.387
S22 0.626 0.856 0.887
S23 0.637 0.545 0.632
S24 0.637 0.955 0.132
S25 0.644 0.744 0.141
S26 0.644 0.756 0.641
S27 0.877 0.240 0.344
S28 0.877 0.260 0.844
S29 0.887 0.041 0.855
S30 0.887 0.459 0.355
S31 0.913 0.143 0.629
S32 0.913 0.357 0.129

=====

[2]
The following is a DFT calculation (PBE) of a geometry-optimized NbGaMoC structure.

Results
Its symmetry is P-6m2 (187). As for the distance to the lowest polymorph of the same formula: 3 meV per atom. The calculation puts the magnetization at 0.000 μB/atom.

Unit cell a=3.135 b=3.135 c=13.284 alpha=90.00 beta=90.00 gamma=120.00
Atoms (fractional coordinates):
Nb1 0.000 0.000 0.163
Nb2 0.000 0.000 0.837
Ga1 0.000 0.000 0.500
Ga2 0.667 0.333 0.000
Mo1 0.667 0.333 0.341
Mo2 0.667 0.333 0.659
C1 0.333 0.667 0.257
C2 0.333 0.667 0.743

=====

[3]
The following is a DFT calculation (PBE) of a geometry-optimized LuZnCoSb structure.

Results
Its symmetry is F-43m (216). As for the distance to the lowest polymorph of the same formula: 0 meV per atom. The calculation puts the magnetization at 0.126 μB/atom.

Unit cell a=4.651 b=4.651 c=4.651 alpha=60.00 beta=60.00 gamma=60.00
Atoms (fractional coordinates):
Lu1 0.000 0.000 0.000
Zn1 0.250 0.250 0.250
Co1 0.750 0.750 0.750
Sb1 0.500 0.500 0.500